1.
Crystalline Ac2In2Hg3 at its relaxed geometry. Source: Alexandria via LeMat-Bulk, functional PBE-GGA.

Cell lengths 4.973, 6.437, 7.385 Å; angles 106.98, 90.00, 112.72 degrees
Sites, in units of the cell vectors:
Ac (0.856, 0.713, 0.238)
Ac (0.144, 0.287, 0.762)
In (0.845, 0.690, 0.753)
In (0.155, 0.310, 0.247)
Hg (0.500, 0.000, 0.000)
Hg (0.602, 0.204, 0.431)
Hg (0.398, 0.796, 0.569)

## Properties
Energy of formation from the pure elements in eV/atom: -0.3926
Electronic total energy in eV per cell: -17.347
ρ in g cm⁻³: 10.32


2.
Crystalline AcIn2Hg10 at its relaxed geometry. Source: Alexandria via LeMat-Bulk, functional PBE-GGA.

Cell lengths 6.784, 7.928, 7.933 Å; angles 79.46, 64.69, 64.67 degrees
Sites, in units of the cell vectors:
Ac (0.000, 0.000, 0.000)
In (0.000, 0.500, 0.000)
In (0.500, 0.500, 0.000)
Hg (0.349, 0.651, 0.652)
Hg (0.651, 0.349, 0.348)
Hg (0.999, 0.349, 0.652)
Hg (0.001, 0.651, 0.348)
Hg (0.000, 0.000, 0.500)
Hg (0.500, 0.000, 0.500)
Hg (0.287, 0.212, 0.215)
Hg (0.713, 0.788, 0.785)
Hg (0.499, 0.788, 0.215)
Hg (0.501, 0.212, 0.785)

## Properties
Energy of formation from the pure elements in eV/atom: -0.0679
Electronic total energy in eV per cell: -13.486
ρ in g cm⁻³: 11.73


3.
Crystalline Ac11In9Hg4 at its relaxed geometry. Source: Alexandria via LeMat-Bulk, functional PBE-GGA.

Cell lengths 4.151, 14.521, 14.521 Å; angles 113.13, 90.00, 90.00 degrees
Sites, in units of the cell vectors:
Ac (0.000, 0.588, 0.938)
Ac (0.000, 0.412, 0.062)
Ac (0.000, 0.938, 0.588)
Ac (0.000, 0.062, 0.412)
Ac (0.000, 0.640, 0.360)
Ac (0.000, 0.360, 0.640)
Ac (0.000, 0.838, 0.162)
Ac (0.000, 0.162, 0.838)
Ac (0.000, 0.000, 0.000)
Ac (0.000, 0.711, 0.711)
Ac (0.000, 0.289, 0.289)
In (0.500, 0.635, 0.156)
In (0.500, 0.365, 0.844)
In (0.500, 0.156, 0.635)
In (0.500, 0.844, 0.365)
In (0.500, 0.787, 0.935)
In (0.500, 0.213, 0.065)
In (0.500, 0.935, 0.787)
In (0.500, 0.065, 0.213)
In (0.500, 0.500, 0.500)
Hg (0.500, 0.551, 0.748)
Hg (0.500, 0.449, 0.252)
Hg (0.500, 0.748, 0.551)
Hg (0.500, 0.252, 0.449)

## Properties
Energy of formation from the pure elements in eV/atom: -0.4273
Electronic total energy in eV per cell: -81.302
ρ in g cm⁻³: 8.94